#i
This record from Alexandria describes Fe2HgBr at its PBEsol-relaxed geometry. The functional is meta-GGA SCAN.

total magnetic moment = 6.13 μB per formula unit

Cell lengths 3.060, 3.060, 6.814 Å; angles 90.00, 90.00, 90.00 degrees
Space group P4/mmm (No. 123)
One atom of each set of equivalent atoms:
Fe (0.000, 0.000, 0.242)
Hg (0.500, 0.500, 0.500)
Br (0.500, 0.500, 0.000)


#ii
This record from Alexandria describes Fe2HgBr at its PBEsol-relaxed geometry. The functional is meta-GGA SCAN.

total magnetic moment = 5.70 μB per formula unit

Cell lengths 7.560, 3.135, 6.516 Å; angles 90.00, 102.80, 90.00 degrees
Space group Cm (No. 8)
One atom of each set of equivalent atoms:
Fe (0.000, 0.000, 0.000)
Fe (0.232, 0.500, 0.139)
Hg (0.248, 0.000, 0.764)
Br (0.486, 0.000, 0.341)


Relative energies in meV per atom: #i 167; #ii 0


#i
This record from Alexandria describes FeHg2Br at its PBEsol-relaxed geometry. The functional is meta-GGA SCAN.

total magnetic moment = 3.25 μB per formula unit

Cell lengths 3.110, 3.110, 8.731 Å; angles 90.00, 90.00, 90.00 degrees
Space group P4mm (No. 99)
One atom of each set of equivalent atoms:
Fe (0.000, 0.000, 0.000)
Hg (0.000, 0.000, 0.494)
Hg (0.500, 0.500, 0.209)
Br (0.500, 0.500, 0.835)


#ii
This record from Alexandria describes FeHg2Br at its PBEsol-relaxed geometry. The functional is meta-GGA SCAN.

total magnetic moment = 3.14 μB per formula unit

Cell lengths 3.083, 4.640, 12.608 Å; angles 90.00, 90.00, 90.00 degrees
Space group Imm2 (No. 44)
One atom of each set of equivalent atoms:
Fe (0.000, 0.000, 0.000)
Hg (0.000, 0.000, 0.535)
Hg (0.000, 0.500, 0.685)
Br (0.000, 0.500, 0.347)


Relative energies in meV per atom: #i 7; #ii 0


#i
This record from Alexandria describes InFe2Br at its PBEsol-relaxed geometry. The functional is meta-GGA SCAN.

total magnetic moment = 5.70 μB per formula unit

Cell lengths 3.019, 4.355, 5.257 Å; angles 90.00, 90.00, 90.00 degrees
Space group Pmmm (No. 47)
One atom of each set of equivalent atoms:
In (0.000, 0.000, 0.000)
Fe (0.000, 0.500, 0.500)
Fe (0.500, 0.500, 0.000)
Br (0.500, 0.000, 0.500)


#ii
This record from Alexandria describes InFe2Br at its PBEsol-relaxed geometry. The functional is meta-GGA SCAN.

total magnetic moment = 5.76 μB per formula unit

Cell lengths 14.851, 3.065, 3.176 Å; angles 90.00, 92.06, 90.00 degrees
Space group Cm (No. 8)
One atom of each set of equivalent atoms:
In (0.000, 0.000, 0.000)
Fe (0.108, 0.500, 0.526)
Fe (0.187, 0.000, 0.047)
Br (0.313, 0.500, 0.193)


#iii
This record from Alexandria describes InFe2Br at its PBEsol-relaxed geometry. The functional is meta-GGA SCAN.

total magnetic moment = 5.20 μB per formula unit

Cell lengths 4.575, 4.575, 3.092 Å; angles 90.00, 90.00, 90.00 degrees
Space group P4/mmm (No. 123)
One atom of each set of equivalent atoms:
In (0.000, 0.000, 0.000)
Fe (0.000, 0.500, 0.500)
Br (0.500, 0.500, 0.000)


Relative energies in meV per atom: #i 439; #ii 0; #iii 482


#i
This record from Alexandria describes InFeBr2 at its PBEsol-relaxed geometry. The functional is meta-GGA SCAN.

total magnetic moment = 3.47 μB per formula unit

Cell lengths 3.233, 3.233, 8.709 Å; angles 90.00, 90.00, 90.00 degrees
Space group P4/mmm (No. 123)
One atom of each set of equivalent atoms:
In (0.000, 0.000, 0.000)
Fe (0.000, 0.000, 0.500)
Br (0.500, 0.500, 0.318)


#ii
This record from Alexandria describes InFeBr2 at its PBEsol-relaxed geometry. The functional is meta-GGA SCAN.

total magnetic moment = 3.27 μB per formula unit

Cell lengths 10.103, 3.468, 6.687 Å; angles 90.00, 114.80, 90.00 degrees
Space group Cm (No. 8)
One atom of each set of equivalent atoms:
In (0.000, 0.000, 0.000)
Fe (0.223, 0.500, 0.998)
Br (0.169, 0.000, 0.702)
Br (0.334, 0.000, 0.294)


#iii
This record from Alexandria describes InFeBr2 at its PBEsol-relaxed geometry. The functional is meta-GGA SCAN.

total magnetic moment = 3.49 μB per formula unit

Cell lengths 3.526, 6.076, 9.155 Å; angles 90.00, 90.00, 90.00 degrees
Space group Cmmm (No. 65)
One atom of each set of equivalent atoms:
In (0.000, 0.000, 0.000)
Fe (0.000, 0.000, 0.500)
Br (0.000, 0.500, 0.308)


Relative energies in meV per atom: #i 196; #ii 0; #iii 84


#i
This record from Alexandria describes Fe2IrBr at its PBEsol-relaxed geometry. The functional is meta-GGA SCAN.

total magnetic moment = 7.21 μB per formula unit

Cell lengths 6.085, 6.085, 6.085 Å; angles 90.00, 90.00, 90.00 degrees
Space group F-43m (No. 216)
One atom of each set of equivalent atoms:
Fe (0.000, 0.000, 0.000)
Fe (0.250, 0.250, 0.250)
Ir (0.000, 0.000, 0.500)
Br (0.250, 0.250, 0.750)


#ii
This record from Alexandria describes Fe2IrBr at its PBEsol-relaxed geometry. The functional is meta-GGA SCAN.

total magnetic moment = 6.71 μB per formula unit

Cell lengths 2.860, 4.695, 8.979 Å; angles 90.00, 90.00, 90.00 degrees
Space group Cmm2 (No. 35)
One atom of each set of equivalent atoms:
Fe (0.000, 0.000, 0.000)
Fe (0.000, 0.500, 0.211)
Ir (0.000, 0.500, 0.776)
Br (0.000, 0.000, 0.443)


Relative energies in meV per atom: #i 308; #ii 0


#i
This record from Alexandria describes FeIr2Br at its PBEsol-relaxed geometry. The functional is meta-GGA SCAN.

total magnetic moment = 3.51 μB per formula unit

Cell lengths 2.752, 4.146, 10.823 Å; angles 90.00, 90.00, 90.00 degrees
Space group Immm (No. 71)
One atom of each set of equivalent atoms:
Fe (0.000, 0.000, 0.000)
Ir (0.000, 0.500, 0.291)
Br (0.000, 0.000, 0.500)


#ii
This record from Alexandria describes FeIr2Br at its PBEsol-relaxed geometry. The functional is meta-GGA SCAN.

total magnetic moment = 3.56 μB per formula unit

Cell lengths 2.871, 4.542, 4.604 Å; angles 90.00, 90.41, 90.00 degrees
Space group P2/m (No. 10)
One atom of each set of equivalent atoms:
Fe (0.000, 0.000, 0.000)
Ir (0.243, 0.500, 0.242)
Br (0.500, 0.000, 0.500)


Relative energies in meV per atom: #i 0; #ii 35


#i
This record from Alexandria describes KFe2Br at its PBEsol-relaxed geometry. The functional is meta-GGA SCAN.

total magnetic moment = 6.68 μB per formula unit

Cell lengths 3.915, 3.915, 12.236 Å; angles 90.00, 90.00, 90.00 degrees
Space group I4/mmm (No. 139)
One atom of each set of equivalent atoms:
K (0.000, 0.000, 0.000)
Fe (0.000, 0.500, 0.250)
Br (0.000, 0.000, 0.500)


#ii
This record from Alexandria describes KFe2Br at its PBEsol-relaxed geometry. The functional is meta-GGA SCAN.

total magnetic moment = 6.53 μB per formula unit

Cell lengths 3.219, 5.954, 4.898 Å; angles 90.00, 91.61, 90.00 degrees
Space group P2/m (No. 10)
One atom of each set of equivalent atoms:
K (0.000, 0.000, 0.000)
Fe (0.279, 0.500, 0.176)
Br (0.500, 0.000, 0.500)


Relative energies in meV per atom: #i 83; #ii 0